Entry 1:
This record from the Alexandria database describes crystalline Dy2TmTh3S6 at its relaxed geometry. The functional is PBE.

## Properties
Spin magnetization, Bohr magnetons per cell: 0.00
V, Å³ per cell: 264.4
Energy relative to the elements, uncorrected, eV/atom: -1.894

```
data_Dy2TmTh3S6
_space_group_name_H-M_alt 'P 1'
_space_group_IT_number 1
_cell_length_a 3.9031
_cell_length_b 8.0607
_cell_length_c 9.0165
_cell_angle_alpha 106.87
_cell_angle_beta 102.50
_cell_angle_gamma 90.00
loop_
_space_group_symop_operation_xyz
'x,y,z'
loop_
_atom_site_label
_atom_site_fract_x
_atom_site_fract_y
_atom_site_fract_z
S1 0.3389 0.9091 0.6778
S2 0.3295 0.4264 0.6589
S3 0.0035 0.2367 0.0070
S4 0.6611 0.0909 0.3222
S5 0.9965 0.7633 0.9930
S6 0.6705 0.5736 0.3411
Th1 0.8329 0.1670 0.6657
Th2 0.5000 0.5000 0.0000
Th3 0.1671 0.8330 0.3343
Dy1 0.1667 0.3330 0.3335
Dy2 0.8333 0.6670 0.6665
Tm1 0.5000 0.0000 0.0000
```

---

Entry 2:
This record from the Alexandria database describes crystalline ScRe2Br at its relaxed geometry. The functional is PBE.

## Properties
Energy above the most stable polymorph in this dataset, eV/atom: 0.9026
Spin magnetization, Bohr magnetons per cell: 0.05
V, Å³ per cell: 69.1
Energy relative to the elements, uncorrected, eV/atom: 0.825

```
data_ScRe2Br
_space_group_name_H-M_alt 'P 1'
_space_group_IT_number 1
_cell_length_a 4.6053
_cell_length_b 4.6053
_cell_length_c 4.6053
_cell_angle_alpha 60.00
_cell_angle_beta 60.00
_cell_angle_gamma 60.00
loop_
_space_group_symop_operation_xyz
'x,y,z'
loop_
_atom_site_label
_atom_site_fract_x
_atom_site_fract_y
_atom_site_fract_z
Re1 0.0000 0.0000 0.0000
Re2 0.2500 0.2500 0.2500
Sc1 0.7500 0.7500 0.7500
Br1 0.5000 0.5000 0.5000
```

---

Entry 3:
This record from the Alexandria database describes crystalline TiHgIN2 at its relaxed geometry. The functional is PBE.

## Properties
Energy above the most stable polymorph in this dataset, eV/atom: 0.0000
Spin magnetization, Bohr magnetons per cell: 0.16
V, Å³ per cell: 97.9
Energy relative to the elements, uncorrected, eV/atom: 0.444

```
data_TiHgIN2
_space_group_name_H-M_alt 'P 1'
_space_group_IT_number 1
_cell_length_a 4.0280
_cell_length_b 4.0280
_cell_length_c 6.0330
_cell_angle_alpha 90.00
_cell_angle_beta 90.00
_cell_angle_gamma 90.00
loop_
_space_group_symop_operation_xyz
'x,y,z'
loop_
_atom_site_label
_atom_site_fract_x
_atom_site_fract_y
_atom_site_fract_z
Ti1 0.0000 0.0000 0.0000
Hg1 0.5000 0.5000 0.5000
N1 0.5000 0.0000 0.0000
N2 0.0000 0.5000 0.0000
I1 0.0000 0.0000 0.5000
```

---

Entry 4:
This record from the Alexandria database describes crystalline SrFe2Pb at its relaxed geometry. The functional is PBE.

## Properties
Spin magnetization, Bohr magnetons per cell: 4.88
V, Å³ per cell: 92.9
Energy of formation from the pure elements, eV per atom: 0.525

```
data_SrFe2Pb
_space_group_name_H-M_alt 'P 1'
_space_group_IT_number 1
_cell_length_a 3.6898
_cell_length_b 3.6898
_cell_length_c 6.8235
_cell_angle_alpha 90.00
_cell_angle_beta 90.00
_cell_angle_gamma 90.00
loop_
_space_group_symop_operation_xyz
'x,y,z'
loop_
_atom_site_label
_atom_site_fract_x
_atom_site_fract_y
_atom_site_fract_z
Sr1 0.5000 0.5000 0.7500
Fe1 0.0000 0.0000 0.4181
Fe2 0.0000 0.0000 0.0819
Pb1 0.5000 0.5000 0.2500
```

---

Entry 5:
This record from the Alexandria database describes crystalline CaCd at its relaxed geometry. The functional is PBE.

## Properties
Spin magnetization, Bohr magnetons per cell: 0.00
V, Å³ per cell: 129.3
Energy of formation from the pure elements, eV per atom: -0.090

```
data_CaCd
_space_group_name_H-M_alt 'P 1'
_space_group_IT_number 1
_cell_length_a 10.2984
_cell_length_b 10.2984
_cell_length_c 10.2984
_cell_angle_alpha 21.56
_cell_angle_beta 21.56
_cell_angle_gamma 21.56
loop_
_space_group_symop_operation_xyz
'x,y,z'
loop_
_atom_site_label
_atom_site_fract_x
_atom_site_fract_y
_atom_site_fract_z
Cd1 0.5081 0.5081 0.5081
Cd2 0.2419 0.2419 0.2419
Ca1 0.9878 0.9878 0.9878
Ca2 0.7622 0.7622 0.7622
```

---

Entry 6:
This record from the Alexandria database describes crystalline SrCr4Re at its relaxed geometry. The functional is PBE.

## Properties
Spin magnetization, Bohr magnetons per cell: 0.00
V, Å³ per cell: 90.1
Energy of formation from the pure elements, eV per atom: 0.779

```
data_SrCr4Re
_space_group_name_H-M_alt 'P 1'
_space_group_IT_number 1
_cell_length_a 5.0312
_cell_length_b 5.0312
_cell_length_c 5.0312
_cell_angle_alpha 60.00
_cell_angle_beta 60.00
_cell_angle_gamma 60.00
loop_
_space_group_symop_operation_xyz
'x,y,z'
loop_
_atom_site_label
_atom_site_fract_x
_atom_site_fract_y
_atom_site_fract_z
Cr1 0.3762 0.8715 0.3762
Cr2 0.3762 0.3762 0.3762
Cr3 0.3762 0.3762 0.8715
Cr4 0.8715 0.3762 0.3762
Sr1 0.0000 0.0000 0.0000
Re1 0.7500 0.7500 0.7500
```

---

Entry 7:
This record from the Alexandria database describes crystalline Be2AlAg at its relaxed geometry. The functional is PBE.

## Properties
Spin magnetization, Bohr magnetons per cell: 0.00
V, Å³ per cell: 50.5
Energy of formation from the pure elements, eV per atom: 0.232

```
data_Be2AlAg
_space_group_name_H-M_alt 'P 1'
_space_group_IT_number 1
_cell_length_a 4.9505
_cell_length_b 4.9505
_cell_length_c 4.9505
_cell_angle_alpha 147.65
_cell_angle_beta 128.24
_cell_angle_gamma 62.37
loop_
_space_group_symop_operation_xyz
'x,y,z'
loop_
_atom_site_label
_atom_site_fract_x
_atom_site_fract_y
_atom_site_fract_z
Be1 0.9773 0.9773 0.0000
Be2 0.7684 0.2684 0.5000
Al1 0.2369 0.7369 0.5000
Ag1 0.5174 0.5174 0.0000
```

---

Entry 8:
This record from the Alexandria database describes crystalline YAl2Ni at its relaxed geometry. The functional is PBE.

## Properties
Spin magnetization, Bohr magnetons per cell: 0.00
V, Å³ per cell: 75.7
Energy of formation from the pure elements, eV per atom: -0.323

```
data_YAl2Ni
_space_group_name_H-M_alt 'P 1'
_space_group_IT_number 1
_cell_length_a 4.3244
_cell_length_b 3.6195
_cell_length_c 4.9875
_cell_angle_alpha 75.76
_cell_angle_beta 90.00
_cell_angle_gamma 90.00
loop_
_space_group_symop_operation_xyz
'x,y,z'
loop_
_atom_site_label
_atom_site_fract_x
_atom_site_fract_y
_atom_site_fract_z
Al1 0.0000 0.1152 0.0369
Al2 0.0000 0.3848 0.4631
Ni1 0.5000 0.2500 0.2500
Y1 0.5000 0.7500 0.7500
```

---

Entry 9:
This record from the Alexandria database describes crystalline Re2Rh at its relaxed geometry. The functional is PBE.

## Properties
Energy above the most stable polymorph in this dataset, eV/atom: 0.2662
Spin magnetization, Bohr magnetons per cell: 0.00
V, Å³ per cell: 45.3
Energy of formation from the pure elements, eV per atom: 0.132

```
data_Re2Rh
_space_group_name_H-M_alt 'P 1'
_space_group_IT_number 1
_cell_length_a 4.3930
_cell_length_b 4.3930
_cell_length_c 2.7086
_cell_angle_alpha 90.00
_cell_angle_beta 90.00
_cell_angle_gamma 120.00
loop_
_space_group_symop_operation_xyz
'x,y,z'
loop_
_atom_site_label
_atom_site_fract_x
_atom_site_fract_y
_atom_site_fract_z
Re1 0.3333 0.6667 0.5004
Re2 0.6667 0.3333 0.4996
Rh1 0.0000 0.0000 0.0000
```

---

Entry 10:
This record from the Alexandria database describes crystalline KAgBr2 at its relaxed geometry. The functional is PBE.

## Properties
Spin magnetization, Bohr magnetons per cell: 0.00
V, Å³ per cell: 182.7
Energy relative to the elements, uncorrected, eV/atom: -1.006

```
data_KAgBr2
_space_group_name_H-M_alt 'P 1'
_space_group_IT_number 1
_cell_length_a 8.6025
_cell_length_b 8.6025
_cell_length_c 8.6025
_cell_angle_alpha 34.55
_cell_angle_beta 34.55
_cell_angle_gamma 34.55
loop_
_space_group_symop_operation_xyz
'x,y,z'
loop_
_atom_site_label
_atom_site_fract_x
_atom_site_fract_y
_atom_site_fract_z
Br1 0.8979 0.8979 0.8979
Br2 0.1021 0.1021 0.1021
Ag1 0.0000 0.0000 0.0000
K1 0.5000 0.5000 0.5000
```

---

Entry 11:
This record from the Alexandria database describes crystalline Ac2Tb4Nd7 at its relaxed geometry. The functional is PBE.

## Properties
Spin magnetization, Bohr magnetons per cell: 0.00
V, Å³ per cell: 467.4
Energy of formation from the pure elements, eV per atom: 0.192

```
data_Ac2Tb4Nd7
_space_group_name_H-M_alt 'P 1'
_space_group_IT_number 1
_cell_length_a 6.3461
_cell_length_b 6.3461
_cell_length_c 13.4020
_cell_angle_alpha 90.00
_cell_angle_beta 90.00
_cell_angle_gamma 120.00
loop_
_space_group_symop_operation_xyz
'x,y,z'
loop_
_atom_site_label
_atom_site_fract_x
_atom_site_fract_y
_atom_site_fract_z
Nd1 0.6301 0.6301 0.7719
Nd2 0.6301 0.0000 0.2281
Nd3 0.0000 0.0000 0.0000
Nd4 0.3699 0.0000 0.7719
Nd5 0.3699 0.3699 0.2281
Nd6 0.0000 0.6301 0.2281
Nd7 0.0000 0.3699 0.7719
Ac1 0.6667 0.3333 0.0000
Ac2 0.3333 0.6667 0.0000
Tb1 0.0000 0.0000 0.6059
Tb2 0.3333 0.6667 0.5000
Tb3 0.6667 0.3333 0.5000
Tb4 0.0000 0.0000 0.3941
```

---

Entry 12:
This record from the Alexandria database describes crystalline TcPSN2 at its relaxed geometry. The functional is PBE.

## Properties
Energy above the most stable polymorph in this dataset, eV/atom: 0.0942
Spin magnetization, Bohr magnetons per cell: 1.96
V, Å³ per cell: 77.5
Energy relative to the elements, uncorrected, eV/atom: 0.992

```
data_TcPSN2
_space_group_name_H-M_alt 'P 1'
_space_group_IT_number 1
_cell_length_a 3.3230
_cell_length_b 3.3230
_cell_length_c 7.0191
_cell_angle_alpha 90.00
_cell_angle_beta 90.00
_cell_angle_gamma 90.00
loop_
_space_group_symop_operation_xyz
'x,y,z'
loop_
_atom_site_label
_atom_site_fract_x
_atom_site_fract_y
_atom_site_fract_z
N1 0.0000 0.5000 0.0000
N2 0.5000 0.0000 0.0000
P1 0.0000 0.0000 0.0000
S1 0.0000 0.0000 0.5000
Tc1 0.5000 0.5000 0.5000
```